[1]
# LiEu2Er | the Alexandria database | PBE | relaxed
# Energy of formation = 202 meV/atom
# Total energy = -6.5548 eV per atom
# Calculated volume = 549.5 Å³ per cell
# ΔE to the lowest computed polymorph = 95 meV per atom
# SG = Fm-3m
data_LiEu2Er
_symmetry_space_group_name_H-M 'P 1'
_symmetry_Int_Tables_number 1
_cell_length_a 8.1907
_cell_length_b 8.1907
_cell_length_c 8.1907
_cell_angle_alpha 90.00
_cell_angle_beta 90.00
_cell_angle_gamma 90.00
loop_
_symmetry_equiv_pos_as_xyz
'x,y,z'
loop_
_atom_site_label
_atom_site_type_symbol
_atom_site_fract_x
_atom_site_fract_y
_atom_site_fract_z
Li1 Li 0.0000 0.0000 0.0000
Li2 Li 0.0000 0.5000 0.5000
Li3 Li 0.5000 0.0000 0.5000
Li4 Li 0.5000 0.5000 0.0000
Eu1 Eu 0.2500 0.2500 0.2500
Eu2 Eu 0.2500 0.2500 0.7500
Eu3 Eu 0.2500 0.7500 0.2500
Eu4 Eu 0.2500 0.7500 0.7500
Eu5 Eu 0.7500 0.2500 0.2500
Eu6 Eu 0.7500 0.2500 0.7500
Eu7 Eu 0.7500 0.7500 0.2500
Eu8 Eu 0.7500 0.7500 0.7500
Er1 Er 0.0000 0.0000 0.5000
Er2 Er 0.0000 0.5000 0.0000
Er3 Er 0.5000 0.0000 0.0000
Er4 Er 0.5000 0.5000 0.5000

---

[2]
# Tl2VAgSb | the Alexandria database | PBE | relaxed
# Total energy = -3.6656 eV per atom
# Calculated volume = 148.4 Å³ per cell
# SG = P4/mmm
data_Tl2VAgSb
_symmetry_space_group_name_H-M 'P 1'
_symmetry_Int_Tables_number 1
_cell_length_a 5.3943
_cell_length_b 5.3943
_cell_length_c 5.1016
_cell_angle_alpha 90.00
_cell_angle_beta 90.00
_cell_angle_gamma 90.00
loop_
_symmetry_equiv_pos_as_xyz
'x,y,z'
loop_
_atom_site_label
_atom_site_type_symbol
_atom_site_fract_x
_atom_site_fract_y
_atom_site_fract_z
Tl1 Tl 0.0000 0.5000 0.0000
Tl2 Tl 0.5000 0.0000 0.0000
V1 V 0.0000 0.0000 0.0000
Ag1 Ag 0.5000 0.5000 0.5000
Sb1 Sb 0.0000 0.0000 0.5000

---

[3]
# Pr6ZnTe3Se2 | the Alexandria database | PBE | relaxed
# Total energy = -5.2654 eV per atom
# Calculated volume = 365.5 Å³ per cell
# SG = C2/m
data_Pr6ZnTe3Se2
_symmetry_space_group_name_H-M 'P 1'
_symmetry_Int_Tables_number 1
_cell_length_a 7.5756
_cell_length_b 7.5756
_cell_length_c 7.7656
_cell_angle_alpha 99.35
_cell_angle_beta 99.35
_cell_angle_gamma 119.88
loop_
_symmetry_equiv_pos_as_xyz
'x,y,z'
loop_
_atom_site_label
_atom_site_type_symbol
_atom_site_fract_x
_atom_site_fract_y
_atom_site_fract_z
Pr1 Pr 0.0755 0.4072 0.2283
Pr2 Pr 0.2552 0.2552 0.7731
Pr3 Pr 0.4072 0.0755 0.2283
Pr4 Pr 0.5928 0.9245 0.7717
Pr5 Pr 0.7448 0.7448 0.2269
Pr6 Pr 0.9245 0.5928 0.7717
Zn1 Zn 0.0000 0.0000 0.0000
Te1 Te 0.1676 0.8324 0.5000
Te2 Te 0.5000 0.5000 0.5000
Te3 Te 0.8324 0.1676 0.5000
Se1 Se 0.3340 0.6660 0.0000
Se2 Se 0.6660 0.3340 0.0000

---

[4]
# MgZrOs3 | the Alexandria database | PBE | relaxed
# Energy of formation = 2095 meV/atom
# Total energy = -6.6710 eV per atom
# Calculated volume = 113.8 Å³ per cell
# ΔE to the lowest computed polymorph = 587 meV per atom
# SG = Pm-3m
data_MgZrOs3
_symmetry_space_group_name_H-M 'P 1'
_symmetry_Int_Tables_number 1
_cell_length_a 4.8466
_cell_length_b 4.8466
_cell_length_c 4.8466
_cell_angle_alpha 90.00
_cell_angle_beta 90.00
_cell_angle_gamma 90.00
loop_
_symmetry_equiv_pos_as_xyz
'x,y,z'
loop_
_atom_site_label
_atom_site_type_symbol
_atom_site_fract_x
_atom_site_fract_y
_atom_site_fract_z
Mg1 Mg 0.0000 0.0000 0.0000
Zr1 Zr 0.5000 0.5000 0.5000
Os1 Os 0.0000 0.5000 0.5000
Os2 Os 0.5000 0.0000 0.5000
Os3 Os 0.5000 0.5000 0.0000

---

Q: Number 3 is which compound?
A: Pr6ZnTe3Se2

---

Copy entry 4 word for word.
# MgZrOs3 | the Alexandria database | PBE | relaxed
# Energy of formation = 2095 meV/atom
# Total energy = -6.6710 eV per atom
# Calculated volume = 113.8 Å³ per cell
# ΔE to the lowest computed polymorph = 587 meV per atom
# SG = Pm-3m
data_MgZrOs3
_symmetry_space_group_name_H-M 'P 1'
_symmetry_Int_Tables_number 1
_cell_length_a 4.8466
_cell_length_b 4.8466
_cell_length_c 4.8466
_cell_angle_alpha 90.00
_cell_angle_beta 90.00
_cell_angle_gamma 90.00
loop_
_symmetry_equiv_pos_as_xyz
'x,y,z'
loop_
_atom_site_label
_atom_site_type_symbol
_atom_site_fract_x
_atom_site_fract_y
_atom_site_fract_z
Mg1 Mg 0.0000 0.0000 0.0000
Zr1 Zr 0.5000 0.5000 0.5000
Os1 Os 0.0000 0.5000 0.5000
Os2 Os 0.5000 0.0000 0.5000
Os3 Os 0.5000 0.5000 0.0000

---

Q: What is the calculated volume in the second record?
A: 148.4 Å³ per cell